[1]
! ZnNiRh2, relaxed, DFT PBE-GGA; values from VASP
&SYSTEM
  ibrav = 0, nat = 4, ntyp = 3
/
ATOMIC_SPECIES
Ni 58.69 Ni.upf
Zn 65.41 Zn.upf
Rh 102.91 Rh.upf
CELL_PARAMETERS angstrom
-0.2626 0.9620 -2.4769
-2.1363 -0.0067 1.6018
2.1209 7.9474 2.8619
ATOMIC_POSITIONS crystal
Ni 0.5000 0.5000 0.7451
Zn 0.0000 0.0000 0.5091
Rh 0.5000 0.5000 0.2555
Rh 0.0000 0.0000 0.9903
! Space group ... Cmm2

[2]
! Zn2Ni7Rh2, relaxed, DFT PBE-GGA; values from VASP
&SYSTEM
  ibrav = 0, nat = 11, ntyp = 3
/
ATOMIC_SPECIES
Ni 58.69 Ni.upf
Rh 102.91 Rh.upf
Zn 65.41 Zn.upf
CELL_PARAMETERS angstrom
5.7106 0.5569 -0.5575
-0.6980 5.6950 -0.5575
-0.8849 -1.1037 4.3366
ATOMIC_POSITIONS crystal
Ni 0.9273 0.4137 0.6713
Ni 0.0727 0.5863 0.3287
Ni 0.0000 0.0000 0.5000
Ni 0.2495 0.2495 0.0468
Ni 0.5863 0.0727 0.3287
Ni 0.7505 0.7505 0.9532
Ni 0.4137 0.9273 0.6713
Rh 0.6055 0.6055 0.3284
Rh 0.3945 0.3945 0.6716
Zn 0.1962 0.8038 0.0000
Zn 0.8038 0.1962 0.0000
! Space group ... C2/m

[3]
! Zn3Ni6Rh, relaxed, DFT PBE-GGA; values from VASP
&SYSTEM
  ibrav = 0, nat = 20, ntyp = 3
/
ATOMIC_SPECIES
Ni 58.69 Ni.upf
Rh 102.91 Rh.upf
Zn 65.41 Zn.upf
CELL_PARAMETERS angstrom
-0.7066 -3.9790 -1.1460
-0.4751 1.9573 -6.5027
8.5252 -2.2565 2.5786
ATOMIC_POSITIONS crystal
Ni 0.7500 0.5351 0.9295
Ni 0.2500 0.4649 0.0705
Ni 0.2500 0.0606 0.8709
Ni 0.2500 0.8729 0.2648
Ni 0.2500 0.1672 0.1696
Ni 0.7500 0.8328 0.8304
Ni 0.7500 0.9394 0.1291
Ni 0.2500 0.6661 0.6740
Ni 0.7500 0.7344 0.5372
Ni 0.2500 0.2656 0.4628
Ni 0.7500 0.3339 0.3260
Ni 0.7500 0.1271 0.7352
Rh 0.2500 0.9642 0.5704
Rh 0.7500 0.0358 0.4296
Zn 0.7500 0.2294 0.0279
Zn 0.7500 0.4388 0.6291
Zn 0.7500 0.6395 0.2248
Zn 0.2500 0.3605 0.7752
Zn 0.2500 0.5612 0.3709
Zn 0.2500 0.7706 0.9721
! Space group ... P2_1/m

[4]
! Zn12NiRh2, relaxed, DFT PBE-GGA; values from VASP
&SYSTEM
  ibrav = 0, nat = 30, ntyp = 3
/
ATOMIC_SPECIES
Zn 65.41 Zn.upf
Ni 58.69 Ni.upf
Rh 102.91 Rh.upf
CELL_PARAMETERS angstrom
4.9933 -0.8955 0.8048
-0.8953 4.9938 -0.8026
1.9739 -1.9701 19.0508
ATOMIC_POSITIONS crystal
Zn 0.8113 0.6891 0.5852
Zn 0.8473 0.1532 0.2045
Zn 0.3377 0.6624 0.5503
Zn 0.3348 0.6655 0.8866
Zn 0.6527 0.3468 0.7954
Zn 0.4654 0.5343 0.7122
Zn 0.8049 0.6950 0.9267
Zn 0.3050 0.1949 0.9267
Zn 0.3470 0.6535 0.2045
Zn 0.8351 0.1652 0.8862
Zn 0.6649 0.3348 0.1138
Zn 0.5347 0.4656 0.2877
Zn 0.6624 0.3375 0.4497
Zn 0.9653 0.0344 0.7123
Zn 0.8376 0.1626 0.5503
Zn 0.6887 0.8110 0.4148
Zn 0.1623 0.8376 0.4498
Zn 0.1889 0.3113 0.4148
Zn 0.1530 0.8464 0.7954
Zn 0.3110 0.1888 0.5852
Zn 0.0346 0.9657 0.2878
Zn 0.1652 0.8345 0.1134
Zn 0.6951 0.8050 0.0733
Zn 0.1951 0.3050 0.0733
Ni 0.5012 0.0012 0.0000
Ni 0.9988 0.4988 0.0000
Rh 0.9946 0.5052 0.6735
Rh 0.5054 0.9948 0.3265
Rh 0.4945 0.0052 0.6735
Rh 0.0055 0.4948 0.3265
! Space group ... C2/m

[5]
! ZnNi6Rh2, relaxed, DFT PBE-GGA; values from VASP
&SYSTEM
  ibrav = 0, nat = 9, ntyp = 3
/
ATOMIC_SPECIES
Zn 65.41 Zn.upf
Ni 58.69 Ni.upf
Rh 102.91 Rh.upf
CELL_PARAMETERS angstrom
-2.8927 -1.9588 -0.9694
-1.3684 -2.8785 3.1202
-5.8357 3.4184 3.7268
ATOMIC_POSITIONS crystal
Zn 0.0000 0.5000 0.5000
Ni 0.0030 0.8337 0.1604
Ni 0.9970 0.1663 0.8396
Ni 0.6644 0.0580 0.6132
Ni 0.6621 0.7298 0.9460
Ni 0.3379 0.2702 0.0540
Ni 0.3356 0.9420 0.3868
Rh 0.6727 0.3834 0.2712
Rh 0.3273 0.6166 0.7288
! Polymorph energy (0 for the lowest one) ... 0.00 eV/f.u.
! Space group ... C2/m

[6]
! Zn2NiRh, relaxed, DFT PBE-GGA; values from VASP
&SYSTEM
  ibrav = 0, nat = 8, ntyp = 3
/
ATOMIC_SPECIES
Zn 65.41 Zn.upf
Ni 58.69 Ni.upf
Rh 102.91 Rh.upf
CELL_PARAMETERS angstrom
5.4691 0.0000 0.0000
0.0000 5.4691 0.0000
2.7346 2.7346 5.4177
ATOMIC_POSITIONS crystal
Zn 0.1415 0.6250 0.2500
Zn 0.8750 0.8585 0.7500
Zn 0.6085 0.1250 0.2500
Zn 0.3750 0.3915 0.7500
Ni 0.5000 0.5000 0.0000
Ni 0.2500 0.7500 0.5000
Rh 0.7500 0.2500 0.5000
Rh 0.0000 0.0000 0.0000
! Space group ... I-42d

[7]
! ZnNi3Rh6, relaxed, DFT PBE-GGA; values from VASP
&SYSTEM
  ibrav = 0, nat = 20, ntyp = 3
/
ATOMIC_SPECIES
Rh 102.91 Rh.upf
Ni 58.69 Ni.upf
Zn 65.41 Zn.upf
CELL_PARAMETERS angstrom
4.5045 0.0048 0.0000
0.0314 7.8980 0.0000
0.0000 0.0000 8.0436
ATOMIC_POSITIONS crystal
Rh 0.9751 0.5683 0.6782
Rh 0.4711 0.4398 0.8311
Rh 0.0249 0.4317 0.3218
Rh 0.4751 0.0683 0.8218
Rh 0.4433 0.7556 0.6880
Rh 0.0289 0.0602 0.3311
Rh 0.5249 0.9317 0.1782
Rh 0.5289 0.5602 0.1689
Rh 0.9711 0.9398 0.6689
Rh 0.9433 0.2556 0.8120
Rh 0.0567 0.7444 0.1880
Rh 0.5567 0.2444 0.3120
Ni 0.7278 0.7491 0.9317
Ni 0.7722 0.7509 0.4317
Ni 0.2722 0.2509 0.0683
Ni 0.2278 0.2491 0.5683
Ni 0.5000 0.0000 0.5000
Ni 0.0000 0.5000 0.0000
Zn 0.0000 0.0000 0.0000
Zn 0.5000 0.5000 0.5000
! Space group ... P2_1/c

[8]
! ZnNiRh2, relaxed, DFT PBE-GGA; values from VASP
&SYSTEM
  ibrav = 0, nat = 4, ntyp = 3
/
ATOMIC_SPECIES
Rh 102.91 Rh.upf
Ni 58.69 Ni.upf
Zn 65.41 Zn.upf
CELL_PARAMETERS angstrom
-0.3511 -2.7398 1.5379
2.1751 1.4818 3.1364
-3.4389 1.4064 1.7205
ATOMIC_POSITIONS crystal
Rh 0.0000 0.0000 0.0000
Rh 0.0000 0.5000 0.5000
Ni 0.5000 0.0000 0.5000
Zn 0.5000 0.5000 0.0000
! Space group ... P4/mmm

[9]
! ZnNiRh3, relaxed, DFT PBE-GGA; values from VASP
&SYSTEM
  ibrav = 0, nat = 5, ntyp = 3
/
ATOMIC_SPECIES
Ni 58.69 Ni.upf
Rh 102.91 Rh.upf
Zn 65.41 Zn.upf
CELL_PARAMETERS angstrom
-0.5469 1.4163 4.2080
-4.2537 -1.3825 -0.0875
1.2727 -4.0119 1.5157
ATOMIC_POSITIONS crystal
Ni 0.0000 0.0000 0.0000
Rh 0.5000 0.0000 0.0000
Rh 0.0000 0.5000 0.0000
Rh 0.0000 0.0000 0.5000
Zn 0.5000 0.5000 0.5000
! Polymorph energy (0 for the lowest one) ... 0.00 eV/f.u.
! Space group ... Pm-3m

[10]
! ZrZnNiRh, relaxed, DFT PBE-GGA; values from VASP
&SYSTEM
  ibrav = 0, nat = 4, ntyp = 4
/
ATOMIC_SPECIES
Zr 91.22 Zr.upf
Rh 102.91 Rh.upf
Ni 58.69 Ni.upf
Zn 65.41 Zn.upf
CELL_PARAMETERS angstrom
4.4182 0.0000 0.0000
2.2091 3.8263 0.0000
2.2091 1.2754 3.6075
ATOMIC_POSITIONS crystal
Zr 0.2500 0.2500 0.2500
Rh 0.5000 0.5000 0.5000
Ni 0.0000 0.0000 0.0000
Zn 0.7500 0.7500 0.7500
! Polymorph energy (0 for the lowest one) ... 0.09 eV/f.u.
! Space group ... F-43m

[11]
! ZrZnNiRh, relaxed, DFT PBE-GGA; values from VASP
&SYSTEM
  ibrav = 0, nat = 4, ntyp = 4
/
ATOMIC_SPECIES
Zn 65.41 Zn.upf
Rh 102.91 Rh.upf
Ni 58.69 Ni.upf
Zr 91.22 Zr.upf
CELL_PARAMETERS angstrom
-1.9787 2.8641 -2.1982
-0.5470 -2.7157 -3.0459
-1.8359 -1.0916 4.0858
ATOMIC_POSITIONS crystal
Zn 0.5000 0.5000 0.0000
Rh 0.2500 0.7500 0.5000
Ni 0.7500 0.2500 0.5000
Zr 0.0000 0.0000 0.0000
! Polymorph energy (0 for the lowest one) ... 0.00 eV/f.u.
! Space group ... I-4m2

[12]
! Zr3NiRh, relaxed, DFT PBE-GGA; values from VASP
&SYSTEM
  ibrav = 0, nat = 10, ntyp = 3
/
ATOMIC_SPECIES
Zr 91.22 Zr.upf
Ni 58.69 Ni.upf
Rh 102.91 Rh.upf
CELL_PARAMETERS angstrom
5.0462 -0.0531 2.0081
1.8081 4.7115 2.0081
-0.0619 -0.0421 7.9697
ATOMIC_POSITIONS crystal
Zr 0.7029 0.7029 0.6507
Zr 0.0050 0.0050 0.7677
Zr 0.6946 0.6946 0.1502
Zr 0.2971 0.2971 0.3493
Zr 0.9950 0.9950 0.2323
Zr 0.3054 0.3054 0.8498
Ni 0.2982 0.7018 0.0000
Ni 0.7018 0.2982 0.0000
Rh 0.7350 0.2650 0.5000
Rh 0.2650 0.7350 0.5000
! Polymorph energy (0 for the lowest one) ... 0.00 eV/f.u.
! Space group ... C2/m

[13]
! Zr3Ni3Rh2, relaxed, DFT PBE-GGA; values from VASP
&SYSTEM
  ibrav = 0, nat = 8, ntyp = 3
/
ATOMIC_SPECIES
Ni 58.69 Ni.upf
Zr 91.22 Zr.upf
Rh 102.91 Rh.upf
CELL_PARAMETERS angstrom
3.5570 0.0000 0.0000
0.0000 5.6573 -3.2662
0.0000 0.0000 6.5325
ATOMIC_POSITIONS crystal
Ni 0.0000 0.7803 0.7803
Ni 0.0000 0.0000 0.2197
Ni 0.0000 0.2197 0.0000
Zr 0.5000 0.0000 0.6422
Zr 0.5000 0.6422 0.0000
Zr 0.5000 0.3578 0.3578
Rh 0.0000 0.3333 0.6667
Rh 0.0000 0.6667 0.3333
! Space group ... P-62m

[14]
! ZrNiRh, relaxed, DFT PBE-GGA; values from VASP
&SYSTEM
  ibrav = 0, nat = 3, ntyp = 3
/
ATOMIC_SPECIES
Rh 102.91 Rh.upf
Zr 91.22 Zr.upf
Ni 58.69 Ni.upf
CELL_PARAMETERS angstrom
-2.5164 -2.3688 2.3759
0.9662 -0.7075 4.0192
-2.2791 1.7643 3.0465
ATOMIC_POSITIONS crystal
Rh 0.0000 0.0000 0.0000
Zr 0.5000 0.5000 0.5000
Ni 0.7500 0.7500 0.7500
! Polymorph energy (0 for the lowest one) ... 0.91 eV/f.u.
! Space group ... F-43m

[15]
! Zr3NiRh2, relaxed, DFT PBE-GGA; values from VASP
&SYSTEM
  ibrav = 0, nat = 6, ntyp = 3
/
ATOMIC_SPECIES
Zr 91.22 Zr.upf
Ni 58.69 Ni.upf
Rh 102.91 Rh.upf
CELL_PARAMETERS angstrom
3.2789 0.0000 0.0000
0.0000 4.4029 -1.4576
0.0000 -0.0185 7.3228
ATOMIC_POSITIONS crystal
Zr 0.5000 0.8375 0.6751
Zr 0.5000 0.1625 0.3249
Zr 0.5000 0.5000 0.0000
Ni 0.0000 0.0000 0.0000
Rh 0.0000 0.6687 0.3374
Rh 0.0000 0.3313 0.6626
! Space group ... Cmmm

[16]
! ZrNiRh, relaxed, DFT PBE-GGA; values from VASP
&SYSTEM
  ibrav = 0, nat = 3, ntyp = 3
/
ATOMIC_SPECIES
Ni 58.69 Ni.upf
Rh 102.91 Rh.upf
Zr 91.22 Zr.upf
CELL_PARAMETERS angstrom
4.1879 0.0000 0.0000
-2.0939 3.6268 0.0000
0.0000 0.0000 3.2195
ATOMIC_POSITIONS crystal
Ni 0.0000 0.0000 0.1665
Rh 0.6667 0.3333 0.1667
Zr 0.3333 0.6667 0.6668
! Polymorph energy (0 for the lowest one) ... 0.49 eV/f.u.
! Space group ... P-6m2

[17]
! ZrNi2Rh, relaxed, DFT PBE-GGA; values from VASP
&SYSTEM
  ibrav = 0, nat = 4, ntyp = 3
/
ATOMIC_SPECIES
Rh 102.91 Rh.upf
Ni 58.69 Ni.upf
Zr 91.22 Zr.upf
CELL_PARAMETERS angstrom
4.3470 0.0000 0.0000
2.1735 3.7646 0.0000
2.1735 1.2549 3.5493
ATOMIC_POSITIONS crystal
Rh 0.5000 0.5000 0.5000
Ni 0.0000 0.0000 0.0000
Ni 0.2500 0.2500 0.2500
Zr 0.7500 0.7500 0.7500
! Space group ... F-43m

[18]
! ZrNi2Rh, relaxed, DFT PBE-GGA; values from VASP
&SYSTEM
  ibrav = 0, nat = 8, ntyp = 3
/
ATOMIC_SPECIES
Ni 58.69 Ni.upf
Zr 91.22 Zr.upf
Rh 102.91 Rh.upf
CELL_PARAMETERS angstrom
-1.0884 -3.5695 -0.0103
1.9677 -0.6089 3.1118
-6.7045 0.0750 6.4919
ATOMIC_POSITIONS crystal
Ni 0.3750 0.3472 0.7500
Ni 0.8750 0.9028 0.7500
Ni 0.0972 0.6250 0.2500
Ni 0.6528 0.1250 0.2500
Zr 0.2500 0.7500 0.5000
Zr 0.5000 0.5000 0.0000
Rh 0.7500 0.2500 0.5000
Rh 0.0000 0.0000 0.0000
! Space group ... I-42d

[19]
! ZrNi2Rh, relaxed, DFT PBE-GGA; values from VASP
&SYSTEM
  ibrav = 0, nat = 4, ntyp = 3
/
ATOMIC_SPECIES
Rh 102.91 Rh.upf
Ni 58.69 Ni.upf
Zr 91.22 Zr.upf
CELL_PARAMETERS angstrom
-1.9752 3.1762 -1.2255
-2.6140 -1.5382 0.2265
-1.8502 0.6699 4.7184
ATOMIC_POSITIONS crystal
Rh 0.0000 0.4570 0.4467
Ni 0.0000 0.1937 0.9965
Ni 0.5000 0.0489 0.2643
Zr 0.5000 0.8004 0.7926
! Space group ... Pm

[20]
! ZrNiRh2, relaxed, DFT PBE-GGA; values from VASP
&SYSTEM
  ibrav = 0, nat = 4, ntyp = 3
/
ATOMIC_SPECIES
Ni 58.69 Ni.upf
Zr 91.22 Zr.upf
Rh 102.91 Rh.upf
CELL_PARAMETERS angstrom
-1.5887 4.3073 0.9160
-3.7784 2.3039 1.5267
0.8477 0.4743 4.5952
ATOMIC_POSITIONS crystal
Ni 0.2500 0.2500 0.2500
Zr 0.7500 0.7500 0.7500
Rh 0.5052 0.5052 0.4800
Rh 0.9948 0.9948 0.0200
! Space group ... C2/m

no.,total DFT energy (no corrections) (eV/f.u.)
1,-21.524
2,-57.291
3,-47.043
4,-37.907
5,-51.030
6,-12.335
7,-60.817
8,-22.295
9,-24.102
10,-25.069
11,-25.155
12,-40.863
13,-61.666
14,-22.417
15,-49.863
16,-22.831
17,-28.751
18,-27.747
19,-28.539
20,-30.444